1.
Material: ZrBe3Ni
Method: DFT, SCAN
State: PBEsol geometry

Unit cell a=3.9137 b=3.9137 c=3.9137 alpha=90.00 beta=90.00 gamma=90.00
Last column: nearest neighbours and their distance in Å.
Element x y z (fractional)
Ni 0.0000 0.0000 0.0000  6 Be 1.96
Zr 0.5000 0.5000 0.5000  12 Be 2.77
Be 0.5000 0.0000 0.0000  2 Ni 1.96
Be 0.0000 0.5000 0.0000  2 Ni 1.96
Be 0.0000 0.0000 0.5000  2 Ni 1.96

Raw total energy   -60.7 eV/cell

=====

2.
Material: ZrBe2Ni
Method: DFT, SCAN
State: PBEsol geometry

Unit cell a=3.5993 b=3.5993 c=3.9662 alpha=90.00 beta=90.00 gamma=90.00
Last column: nearest neighbours and their distance in Å.
Element x y z (fractional)
Be 0.0000 0.5000 0.0000  4 Be 2.55, 4 Zr 2.68, 4 Ni 2.68
Be 0.5000 0.0000 0.0000  4 Be 2.55, 4 Zr 2.68, 4 Ni 2.68
Ni 0.5000 0.5000 0.5000  4 Zr 2.55, 8 Be 2.68
Zr 0.0000 0.0000 0.5000  4 Ni 2.55, 8 Be 2.68

Raw total energy   -55.5 eV/cell

=====

3.
Material: BeOsO2
Method: DFT, SCAN
State: PBEsol geometry

Unit cell a=4.3396 b=4.9763 c=4.3396 alpha=115.85 beta=90.00 gamma=115.85
Last column: nearest neighbours and their distance in Å.
Element x y z (fractional)
O 0.7852 0.2500 0.8750  2 Be 1.62
O 0.4648 0.2500 0.3750  2 Be 1.62
O 0.1250 0.7500 0.5352  2 Be 1.62
O 0.6250 0.7500 0.2148  2 Be 1.62
Be 0.7500 0.5000 0.2500  4 O 1.62
Be 0.5000 0.0000 0.5000  4 O 1.62
Os 0.2500 0.5000 0.7500  4 O 2.08
Os 0.0000 0.0000 0.0000  4 O 2.08

Energy relative to the elements, uncorrected   -1062 meV per atom

=====

4.
Material: BeP2O6
Method: DFT, SCAN
State: PBEsol geometry

Unit cell a=7.1236 b=7.1236 c=9.0696 alpha=90.00 beta=90.00 gamma=91.22
Last column: nearest neighbours and their distance in Å.
Element x y z (fractional)
P 0.8886 0.3543 0.5384  4 O 1.48-1.61
P 0.4128 0.5872 0.2500  4 O 1.49-1.60
P 0.6457 0.1114 0.9616  4 O 1.48-1.61
P 0.3543 0.8886 0.4616  4 O 1.48-1.61
P 0.5872 0.4128 0.7500  4 O 1.49-1.60
P 0.1114 0.6457 0.0384  4 O 1.48-1.61
P 0.9425 0.9425 0.5000  4 O 1.49-1.59
P 0.0575 0.0575 0.0000  4 O 1.49-1.59
O 0.8411 0.0755 0.0397  2 P 1.59
O 0.6009 0.9655 0.8488  1 P 1.49, 1 Be 1.61
O 0.8651 0.4907 0.4173  1 P 1.48, 1 Be 1.59
O 0.1555 0.1061 0.1406  1 P 1.49, 1 Be 1.61
O 0.3133 0.6860 0.1126  2 P 1.60-1.61
O 0.8939 0.8445 0.3594  1 P 1.49, 1 Be 1.61
O 0.6147 0.6442 0.2404  1 P 1.49, 1 Be 1.62
O 0.6860 0.3133 0.8874  2 P 1.60-1.61
O 0.3853 0.3558 0.7404  1 P 1.49, 1 Be 1.62
O 0.3140 0.6867 0.3874  2 P 1.60-1.61
O 0.3991 0.0345 0.3488  1 P 1.49, 1 Be 1.61
O 0.8445 0.8939 0.6406  1 P 1.49, 1 Be 1.61
O 0.9245 0.1589 0.4603  2 P 1.59
O 0.1349 0.5093 0.9173  1 P 1.48, 1 Be 1.59
O 0.3558 0.3853 0.2596  1 P 1.49, 1 Be 1.62
O 0.0345 0.3991 0.6512  1 P 1.49, 1 Be 1.61
O 0.4907 0.8651 0.5827  1 P 1.48, 1 Be 1.59
O 0.5093 0.1349 0.0827  1 P 1.48, 1 Be 1.59
O 0.0755 0.8411 0.9603  2 P 1.59
O 0.6867 0.3140 0.6126  2 P 1.60-1.61
O 0.9655 0.6009 0.1512  1 P 1.49, 1 Be 1.61
O 0.1061 0.1555 0.8594  1 P 1.49, 1 Be 1.61
O 0.6442 0.6147 0.7596  1 P 1.49, 1 Be 1.62
O 0.1589 0.9245 0.5397  2 P 1.59
Be 0.6427 0.8332 0.7087  4 O 1.59-1.62
Be 0.3573 0.1668 0.2087  4 O 1.59-1.62
Be 0.8332 0.6427 0.2913  4 O 1.59-1.62
Be 0.1668 0.3573 0.7913  4 O 1.59-1.62

Energy relative to the elements, uncorrected   -2566 meV per atom
Energy above the lowest structure with this stoichiometry   0.0097 eV per atom

=====

5.
Material: BeP2O6
Method: DFT, SCAN
State: PBEsol geometry

Unit cell a=4.9104 b=7.0016 c=12.9468 alpha=90.00 beta=90.00 gamma=107.05
Last column: nearest neighbours and their distance in Å.
Element x y z (fractional)
Be 0.1204 0.7622 0.9328  4 O 1.61-1.62
Be 0.6204 0.2622 0.5672  4 O 1.61-1.62
Be 0.8796 0.2378 0.0672  4 O 1.61-1.62
Be 0.3796 0.7378 0.4328  4 O 1.61-1.62
P 0.5418 0.5813 0.8495  4 O 1.49-1.61
P 0.4582 0.4187 0.1505  4 O 1.49-1.61
P 0.0418 0.0813 0.6505  4 O 1.49-1.61
P 0.1470 0.1700 0.8691  4 O 1.49-1.61
P 0.9582 0.9187 0.3495  4 O 1.49-1.61
P 0.8530 0.8300 0.1309  4 O 1.49-1.61
P 0.3530 0.3300 0.3691  4 O 1.49-1.61
P 0.6470 0.6700 0.6309  4 O 1.49-1.61
O 0.1252 0.8402 0.4263  1 P 1.49, 1 Be 1.61
O 0.3748 0.6598 0.9263  1 P 1.49, 1 Be 1.61
O 0.4714 0.7343 0.5521  1 P 1.49, 1 Be 1.61
O 0.6252 0.3402 0.0737  1 P 1.49, 1 Be 1.61
O 0.4311 0.3436 0.8437  2 P 1.59
O 0.8748 0.1598 0.5737  1 P 1.49, 1 Be 1.61
O 0.5689 0.6564 0.1563  2 P 1.59
O 0.4690 0.6482 0.7367  2 P 1.61
O 0.9311 0.8436 0.6563  2 P 1.59
O 0.0286 0.7657 0.0521  1 P 1.49, 1 Be 1.61
O 0.0310 0.8518 0.2367  2 P 1.61
O 0.6434 0.8647 0.3625  1 P 1.49, 1 Be 1.62
O 0.5286 0.2657 0.4479  1 P 1.49, 1 Be 1.61
O 0.9714 0.2343 0.9479  1 P 1.49, 1 Be 1.61
O 0.2615 0.5126 0.3874  1 P 1.49, 1 Be 1.62
O 0.7615 0.0126 0.1126  1 P 1.49, 1 Be 1.62
O 0.2385 0.9874 0.8874  1 P 1.49, 1 Be 1.62
O 0.5310 0.3518 0.2633  2 P 1.61
O 0.9690 0.1482 0.7633  2 P 1.61
O 0.0689 0.1564 0.3437  2 P 1.59
O 0.1434 0.3647 0.1375  1 P 1.49, 1 Be 1.62
O 0.3566 0.1353 0.6375  1 P 1.49, 1 Be 1.62
O 0.7385 0.4874 0.6126  1 P 1.49, 1 Be 1.62
O 0.8566 0.6353 0.8625  1 P 1.49, 1 Be 1.62

Energy relative to the elements, uncorrected   -2576 meV per atom
Energy above the lowest structure with this stoichiometry   0.0000 eV per atom

=====

6.
Material: Be2P2PbO8
Method: DFT, SCAN
State: PBEsol geometry

Unit cell a=8.0534 b=8.4561 c=9.0389 alpha=90.00 beta=90.00 gamma=90.16
Last column: nearest neighbours and their distance in Å.
Element x y z (fractional)
O 0.9377 0.5690 0.3188  1 P 1.55, 1 Be 1.61
O 0.2396 0.4920 0.3358  1 P 1.52, 1 Be 1.59
O 0.7419 0.8001 0.4025  1 P 1.56, 1 Be 1.64
O 0.7419 0.3001 0.0975  1 P 1.56, 1 Be 1.64
O 0.2396 0.9920 0.1642  1 P 1.52, 1 Be 1.59
O 0.7604 0.0080 0.8358  1 P 1.52, 1 Be 1.59
O 0.0129 0.2990 0.4131  1 P 1.55, 1 Be 1.61
O 0.5553 0.1363 0.6398  1 P 1.55, 1 Be 1.64
O 0.4899 0.8046 0.0733  1 P 1.53, 1 Be 1.63
O 0.5564 0.5839 0.3142  1 P 1.54, 1 Be 1.64
O 0.9871 0.2010 0.9131  1 P 1.55, 1 Be 1.61
O 0.5101 0.1954 0.9267  1 P 1.53, 1 Be 1.63
O 0.5101 0.6954 0.5733  1 P 1.53, 1 Be 1.63
O 0.0482 0.3695 0.1432  1 P 1.56, 1 Be 1.63
O 0.0623 0.9310 0.8188  1 P 1.55, 1 Be 1.61
O 0.4899 0.3046 0.4267  1 P 1.53, 1 Be 1.63
O 0.4447 0.8637 0.3602  1 P 1.55, 1 Be 1.64
O 0.2581 0.6999 0.9025  1 P 1.56, 1 Be 1.64
O 0.0623 0.4310 0.6812  1 P 1.55, 1 Be 1.61
O 0.0482 0.8695 0.3568  1 P 1.56, 1 Be 1.63
O 0.5553 0.6363 0.8602  1 P 1.55, 1 Be 1.64
O 0.9377 0.0690 0.1812  1 P 1.55, 1 Be 1.61
O 0.9871 0.7010 0.5869  1 P 1.55, 1 Be 1.61
O 0.4436 0.4161 0.6858  1 P 1.54, 1 Be 1.64
O 0.2581 0.1999 0.5975  1 P 1.56, 1 Be 1.64
O 0.7604 0.5080 0.6642  1 P 1.52, 1 Be 1.59
O 0.4436 0.9161 0.8142  1 P 1.54, 1 Be 1.64
O 0.5564 0.0839 0.1858  1 P 1.54, 1 Be 1.64
O 0.0129 0.7990 0.0869  1 P 1.55, 1 Be 1.61
O 0.4447 0.3637 0.1398  1 P 1.55, 1 Be 1.64
O 0.9518 0.6305 0.8568  1 P 1.56, 1 Be 1.63
O 0.9518 0.1305 0.6432  1 P 1.56, 1 Be 1.63
P 0.0649 0.4324 0.3043  4 O 1.52-1.56
P 0.4373 0.2686 0.5864  4 O 1.53-1.56
P 0.0649 0.9324 0.1957  4 O 1.52-1.56
P 0.5627 0.7314 0.4136  4 O 1.53-1.56
P 0.5627 0.2314 0.0864  4 O 1.53-1.56
P 0.4373 0.7686 0.9136  4 O 1.53-1.56
P 0.9351 0.0676 0.8043  4 O 1.52-1.56
P 0.9351 0.5676 0.6957  4 O 1.52-1.56
Pb 0.7560 0.6056 0.0915  7 O 2.54-2.73
Pb 0.2440 0.3944 0.9085  7 O 2.54-2.73
Pb 0.7560 0.1056 0.4085  7 O 2.54-2.73
Pb 0.2440 0.8944 0.5915  7 O 2.54-2.73
Be 0.4255 0.4356 0.3069  4 O 1.59-1.64
Be 0.9294 0.7268 0.4178  4 O 1.61-1.64
Be 0.0706 0.7732 0.9178  4 O 1.61-1.64
Be 0.5745 0.5644 0.6931  4 O 1.59-1.64
Be 0.9294 0.2268 0.0822  4 O 1.61-1.64
Be 0.4255 0.9356 0.1931  4 O 1.59-1.64
Be 0.5745 0.0644 0.8069  4 O 1.59-1.64
Be 0.0706 0.2732 0.5822  4 O 1.61-1.64

Energy relative to the elements, uncorrected   -2593 meV per atom

=====

Computed N(E_F), in the same sequence as the records: 1.0; 2.6; 1.9; 0.0; 0.0; 0.0 states/eV/f.u..
Computed density, in the same sequence as the records: 4.90; 5.43; 10.41; 2.41; 2.61; 4.48 g/cm³.